Entry w
# BaSbAs

A relaxed BaSbAs crystal (GGA-PBE, Alexandria).

Cell and atoms, written as CIF:
```
data_BaSbAs
_cell_length_a 9.263
_cell_length_b 9.263
_cell_length_c 5.016
_cell_angle_alpha 105.62
_cell_angle_beta 105.62
_cell_angle_gamma 29.14
_symmetry_space_group_name_H-M 'P 1'
_symmetry_Int_Tables_number 1
loop_
_symmetry_equiv_pos_as_xyz
'x,y,z'
loop_
_atom_site_label
_atom_site_type_symbol
_atom_site_fract_x
_atom_site_fract_y
_atom_site_fract_z
Ba1 Ba 0.119 0.119 0.368
Ba2 Ba 0.881 0.881 0.632
Sb1 Sb 0.312 0.312 0.063
Sb2 Sb 0.688 0.688 0.937
As1 As 0.473 0.473 0.223
As2 As 0.527 0.527 0.777
```

Computed properties:
Calculated density: 5.51 g/cm³
Crystal system: monoclinic
Symmetry: C2/m



Entry x
# BaSbAs

A relaxed BaSbAs crystal (GGA-PBE, Alexandria).

Cell and atoms, written as CIF:
```
data_BaSbAs
_cell_length_a 4.611
_cell_length_b 4.432
_cell_length_c 10.080
_cell_angle_alpha 90.00
_cell_angle_beta 101.64
_cell_angle_gamma 90.00
_symmetry_space_group_name_H-M 'P 1'
_symmetry_Int_Tables_number 1
loop_
_symmetry_equiv_pos_as_xyz
'x,y,z'
loop_
_atom_site_label
_atom_site_type_symbol
_atom_site_fract_x
_atom_site_fract_y
_atom_site_fract_z
Ba1 Ba 0.090 0.250 0.202
Ba2 Ba 0.910 0.750 0.798
Sb1 Sb 0.294 0.750 0.507
Sb2 Sb 0.706 0.250 0.493
As1 As 0.474 0.250 0.937
As2 As 0.526 0.750 0.063
```

Computed properties:
Calculated density: 5.50 g/cm³
Crystal system: monoclinic
Symmetry: P2_1/m



Taking the most stable structure as the zero point, the relative energies in meV per atom are entry w 48; entry x 0.